(1)
This record from the Alexandria database describes crystalline Li8CdRh2 at its relaxed geometry. The functional is PBE-GGA.

Properties
Its energy above the most stable polymorph in this dataset is 0.0 meV per atom. The calculation puts the energy of formation from the pure elements at -51 meV/atom. For the total energy, the calculation gives -2.863 eV/atom.

Cell lengths 6.6458, 6.6458, 4.3160 Å; angles 90.00, 90.00, 105.02 degrees
Sites, in units of the cell vectors:
Li1 0.1497 0.1497 0.0000
Li2 0.1765 0.4598 0.5000
Li3 0.2358 0.7642 0.0000
Li4 0.4598 0.1765 0.5000
Li5 0.5402 0.8235 0.5000
Li6 0.7642 0.2358 0.0000
Li7 0.8235 0.5402 0.5000
Li8 0.8503 0.8503 0.0000
Cd1 0.5000 0.5000 0.0000
Rh1 0.1211 0.8789 0.5000
Rh2 0.8789 0.1211 0.5000

***

(2)
This record from the Alexandria database describes crystalline Sm3TlHg2 at its relaxed geometry. The functional is PBE-GGA.

Properties
The calculation puts the energy of formation from the pure elements at -438 meV/atom. For the total energy, the calculation gives -3.292 eV/atom.

Cell lengths 3.7890, 3.7890, 11.6583 Å; angles 90.00, 90.00, 90.00 degrees
Sites, in units of the cell vectors:
Sm1 0.0000 0.0000 0.0000
Sm2 0.0000 0.0000 0.3253
Sm3 0.0000 0.0000 0.6747
Tl1 0.5000 0.5000 0.5000
Hg1 0.5000 0.5000 0.1619
Hg2 0.5000 0.5000 0.8381

***

(3)
This record from the Alexandria database describes crystalline PmCu3Ru4O12 at its relaxed geometry. The functional is PBE-GGA.

Properties
For the total energy, the calculation gives -6.810 eV/atom. For the energy relative to the elements, uncorrected, the calculation gives -1.128 eV/atom.

Cell lengths 6.5146, 6.5146, 6.5146 Å; angles 109.47, 109.47, 109.47 degrees
Sites, in units of the cell vectors:
Pm1 0.0000 0.0000 0.0000
Cu1 0.0000 0.5000 0.5000
Cu2 0.5000 0.0000 0.5000
Cu3 0.5000 0.5000 0.0000
Ru1 0.0000 0.0000 0.5000
Ru2 0.0000 0.5000 0.0000
Ru3 0.5000 0.0000 0.0000
Ru4 0.5000 0.5000 0.5000
O1 0.1345 0.3040 0.8305
O2 0.1695 0.4736 0.3040
O3 0.1695 0.8655 0.6960
O4 0.3040 0.1695 0.4736
O5 0.3040 0.8305 0.1345
O6 0.4736 0.3040 0.1695
O7 0.5264 0.6960 0.8305
O8 0.6960 0.1695 0.8655
O9 0.6960 0.8305 0.5264
O10 0.8305 0.1345 0.3040
O11 0.8305 0.5264 0.6960
O12 0.8655 0.6960 0.1695

***

(4)
This record from the Alexandria database describes crystalline ReAuCl at its relaxed geometry. The functional is PBE-GGA.

Properties
Its energy above the most stable polymorph in this dataset is 86.7 meV per atom. For the total energy, the calculation gives -5.272 eV/atom. For the energy relative to the elements, uncorrected, the calculation gives 0.586 eV/atom.

Cell lengths 8.1087, 7.8192, 2.9499 Å; angles 84.91, 73.84, 21.24 degrees
Sites, in units of the cell vectors:
Re1 0.0000 0.0000 0.0000
Au1 0.3426 0.3426 0.6574
Cl1 0.6240 0.6240 0.3760

***

(5)
This record from the Alexandria database describes crystalline DyEr3Sc at its relaxed geometry. The functional is PBE-GGA.

Properties
The calculation puts the energy of formation from the pure elements at 14 meV/atom. For the total energy, the calculation gives -4.911 eV/atom.

Cell lengths 6.1261, 5.5004, 9.3525 Å; angles 90.00, 109.06, 90.00 degrees
Sites, in units of the cell vectors:
Dy1 0.0683 0.2500 0.2983
Dy2 0.9317 0.7500 0.7017
Er1 0.1386 0.7500 0.0974
Er2 0.2718 0.2500 0.7071
Er3 0.3343 0.7500 0.5029
Er4 0.6657 0.2500 0.4971
Er5 0.7282 0.7500 0.2929
Er6 0.8614 0.2500 0.9026
Sc1 0.4656 0.2500 0.0961
Sc2 0.5344 0.7500 0.9039

***

(6)
This record from the Alexandria database describes crystalline Li3NdAg3 at its relaxed geometry. The functional is PBE-GGA.

Properties
The calculation puts the energy of formation from the pure elements at 166 meV/atom. For the total energy, the calculation gives -2.557 eV/atom.

Cell lengths 6.7880, 6.7880, 6.7880 Å; angles 90.00, 90.00, 90.00 degrees
Sites, in units of the cell vectors:
Li1 0.0000 0.2500 0.5000
Li2 0.0000 0.7500 0.5000
Li3 0.2500 0.5000 0.0000
Li4 0.5000 0.0000 0.2500
Li5 0.5000 0.0000 0.7500
Li6 0.7500 0.5000 0.0000
Nd1 0.0000 0.0000 0.0000
Nd2 0.5000 0.5000 0.5000
Ag1 0.0000 0.5000 0.2500
Ag2 0.0000 0.5000 0.7500
Ag3 0.2500 0.0000 0.5000
Ag4 0.5000 0.2500 0.0000
Ag5 0.5000 0.7500 0.0000
Ag6 0.7500 0.0000 0.5000

***

(7)
This record from the Alexandria database describes crystalline LiReSb3 at its relaxed geometry. The functional is PBE-GGA.

Properties
Its energy above the most stable polymorph in this dataset is 0.0 meV per atom. For the total energy, the calculation gives -4.788 eV/atom. For the energy relative to the elements, uncorrected, the calculation gives 0.558 eV/atom.

Cell lengths 5.2593, 5.2593, 5.2593 Å; angles 90.00, 90.00, 90.00 degrees
Sites, in units of the cell vectors:
Li1 0.0000 0.0000 0.0000
Re1 0.5000 0.5000 0.5000
Sb1 0.0000 0.5000 0.5000
Sb2 0.5000 0.0000 0.5000
Sb3 0.5000 0.5000 0.0000

***

(8)
This record from the Alexandria database describes crystalline Cr4RuCl at its relaxed geometry. The functional is PBE-GGA.

Properties
For the total energy, the calculation gives -7.458 eV/atom. For the energy relative to the elements, uncorrected, the calculation gives 0.812 eV/atom.

Cell lengths 4.8181, 4.8181, 4.8181 Å; angles 60.00, 60.00, 60.00 degrees
Sites, in units of the cell vectors:
Cr1 0.3755 0.3755 0.3755
Cr2 0.3755 0.3755 0.8734
Cr3 0.3755 0.8734 0.3755
Cr4 0.8734 0.3755 0.3755
Ru1 0.0000 0.0000 0.0000
Cl1 0.7500 0.7500 0.7500

***

(9)
This record from the Alexandria database describes crystalline Pr8CoGe3I4 at its relaxed geometry. The functional is PBE-GGA.

Properties
For the total energy, the calculation gives -4.982 eV/atom. For the energy relative to the elements, uncorrected, the calculation gives -0.894 eV/atom.

Cell lengths 8.7296, 8.7296, 9.2643 Å; angles 118.16, 118.16, 59.96 degrees
Sites, in units of the cell vectors:
Pr1 0.2212 0.7501 0.6922
Pr2 0.2223 0.2223 0.6932
Pr3 0.2499 0.7788 0.3078
Pr4 0.2654 0.2654 0.2964
Pr5 0.7346 0.7346 0.7036
Pr6 0.7501 0.2212 0.6922
Pr7 0.7777 0.7777 0.3068
Pr8 0.7788 0.2499 0.3078
Co1 0.0000 0.0000 0.5000
Ge1 0.0000 0.5000 0.5000
Ge2 0.5000 0.0000 0.5000
Ge3 0.5000 0.5000 0.5000
I1 0.0000 0.0000 0.0000
I2 0.0000 0.5000 0.0000
I3 0.5000 0.0000 0.0000
I4 0.5000 0.5000 0.0000

***

(10)
This record from the Alexandria database describes crystalline CaLaSb2 at its relaxed geometry. The functional is PBE-GGA.

Properties
Its energy above the most stable polymorph in this dataset is 703.4 meV per atom. For the total energy, the calculation gives -4.064 eV/atom. For the energy relative to the elements, uncorrected, the calculation gives -0.271 eV/atom.

Cell lengths 3.5120, 3.5120, 10.9483 Å; angles 90.00, 90.00, 90.00 degrees
Sites, in units of the cell vectors:
Ca1 0.0000 0.0000 0.0000
La1 0.5000 0.5000 0.3158
Sb1 0.0000 0.0000 0.5159
Sb2 0.5000 0.5000 0.8070

***

(11)
This record from the Alexandria database describes crystalline Na3AuN at its relaxed geometry. The functional is PBE-GGA.

Properties
Its energy above the most stable polymorph in this dataset is 0.0 meV per atom. For the total energy, the calculation gives -2.915 eV/atom. For the energy relative to the elements, uncorrected, the calculation gives 0.197 eV/atom.

Cell lengths 4.7383, 4.7383, 4.7383 Å; angles 90.00, 90.00, 90.00 degrees
Sites, in units of the cell vectors:
Na1 0.0000 0.0000 0.5000
Na2 0.0000 0.5000 0.0000
Na3 0.5000 0.0000 0.0000
Au1 0.5000 0.5000 0.5000
N1 0.0000 0.0000 0.0000

***

(12)
This record from the Alexandria database describes crystalline HgHPd2 at its relaxed geometry. The functional is PBE-GGA.

Properties
Its energy above the most stable polymorph in this dataset is 52.9 meV per atom. For the total energy, the calculation gives -3.595 eV/atom.

Cell lengths 5.2983, 5.2983, 5.2983 Å; angles 110.13, 110.13, 108.16 degrees
Sites, in units of the cell vectors:
Hg1 0.0000 0.0000 0.0000
Hg2 0.7500 0.2500 0.5000
H1 0.2500 0.7500 0.5000
H2 0.5000 0.5000 0.0000
Pd1 0.2519 0.6250 0.1269
Pd2 0.3750 0.5019 0.6269
Pd3 0.4981 0.1250 0.8731
Pd4 0.8750 0.7481 0.3731